(1)
VASP calculation (meta-GGA SCAN) on CaTcNi2 at its PBEsol-relaxed geometry.

Properties
SG = Cmmm
final energy = -75.9 eV per cell
theoretical density = 7.5 g cm⁻³
distance to the lowest polymorph of the same formula = 0 meV/atom
DFT formation energy = 0.284 eV per atom

Cell lengths 2.662, 4.603, 4.603 Å; angles 90.26, 90.00, 90.00 degrees
Fractional positions:
Tc (0.500, 0.500, 0.500)
Ca (0.500, 0.000, 0.000)
Ni (0.000, 0.000, 0.500)
Ni (0.000, 0.500, 0.000)

(2)
VASP calculation (meta-GGA SCAN) on CaTc2Ni at its PBEsol-relaxed geometry.

Properties
SG = P4mm
final energy = -95.1 eV per cell
theoretical density = 7.5 g cm⁻³
distance to the lowest polymorph of the same formula = 0 meV/atom
DFT formation energy = 0.223 eV per atom

Cell lengths 3.052, 3.052, 7.034 Å; angles 90.00, 90.00, 90.00 degrees
Fractional positions:
Tc (0.500, 0.500, 0.185)
Tc (0.000, 0.000, 0.003)
Ca (0.000, 0.000, 0.511)
Ni (0.500, 0.500, 0.801)

(3)
VASP calculation (meta-GGA SCAN) on CaTcNi2 at its PBEsol-relaxed geometry.

Properties
SG = F-43m
final energy = -74.5 eV per cell
theoretical density = 7.5 g cm⁻³
distance to the lowest polymorph of the same formula = 352 meV/atom
DFT formation energy = 0.636 eV per atom

Cell lengths 4.300, 4.300, 4.300 Å; angles 60.00, 60.00, 60.00 degrees
Fractional positions:
Tc (0.750, 0.750, 0.750)
Ni (0.250, 0.250, 0.250)
Ni (0.000, 0.000, 0.000)
Ca (0.500, 0.500, 0.500)

(4)
VASP calculation (meta-GGA SCAN) on CaTc2Ni at its PBEsol-relaxed geometry.

Properties
SG = R-3m
final energy = -93.2 eV per cell
theoretical density = 8.2 g cm⁻³
distance to the lowest polymorph of the same formula = 477 meV/atom
DFT formation energy = 0.701 eV per atom

Cell lengths 2.712, 2.712, 9.535 Å; angles 81.82, 81.82, 60.00 degrees
Fractional positions:
Ca (0.500, 0.500, 0.500)
Tc (0.261, 0.261, 0.216)
Tc (0.739, 0.739, 0.784)
Ni (0.000, 0.000, 0.000)